{"formula": "TcMoPW2", "functional": "PBE", "state": "relaxed", "lattice_angstrom": [[4.785, 0.000, 0.000], [0.000, 4.785, 0.000], [0.000, 0.000, 4.411]], "species": ["Tc", "Mo", "P", "W", "W"], "fractional_positions": [[0.000, 0.000, 0.000], [0.500, 0.500, 0.500], [0.500, 0.500, 0.000], [0.000, 0.500, 0.500], [0.500, 0.000, 0.500]], "vol_a3_per_cell": 101.01, "dft_energy_ry_per_atom": -0.6253, "spacegroup": "P4/mmm (123)"}